! MgZnP PBE-GGA optimized geometry; values from VASP
&SYSTEM
  ibrav = 0, nat = 6, ntyp = 3
/
ATOMIC_SPECIES
Mg 24.30 Mg.upf
Zn 65.41 Zn.upf
P 30.97 P.upf
ATOMIC_POSITIONS angstrom
Mg 0.000 0.000 0.000
Mg 1.730 1.730 4.303
Zn 0.000 0.000 2.661
Zn 1.730 1.730 6.965
P 0.000 0.000 5.811
P 1.730 1.730 1.508
CELL_PARAMETERS angstrom
3.459 0.000 0.000
0.000 3.459 0.000
0.000 0.000 8.607
! - Formation enthalpy at 0 K: 0.01 eV/atom
! - Space-group type: No. 107
! - N(E_F): 2.3 states/eV/cell
! - Size of the total moment: 0.000 μB per cell